Record 1
Sr2Cu2Pd after structural relaxation, computed with PBE.

Cell and atoms, written as POSCAR:
```
Sr2Cu2Pd
1.0
2.1656 -5.2812 0.0000
2.1656 5.2812 0.0000
0.0000 0.0000 10.2074
Cu Pd Sr
4 2 4
Direct
0.0642 0.9358 0.1244
0.0642 0.9358 0.3756
0.9358 0.0642 0.6244
0.9358 0.0642 0.8756
0.6379 0.3621 0.2500
0.3621 0.6379 0.7500
0.3584 0.6416 0.0882
0.3584 0.6416 0.4118
0.6416 0.3584 0.5882
0.6416 0.3584 0.9118
```

Final energy (Ry per atom): -0.24665

***

Record 2
SrCuPd after structural relaxation, computed with PBE.

Cell and atoms, written as POSCAR:
```
SrCuPd
1.0
-4.4716 0.8696 1.6744
-1.9664 4.4082 -0.5070
-3.6655 0.6793 -3.1078
Cu Pd Sr
1 1 1
Direct
0.2500 0.2500 0.2500
0.7500 0.7500 0.7500
0.0000 0.0000 0.0000
```

Offset from the most stable computed form (meV/atom): 476